[1]
Here is a geometry-optimized PrSm5Sc2 structure from Alexandria via LeMat-Bulk. Energies are from PBE.

The energy of formation is 0.3 eV/f.u. The calculation puts the energy above the lowest structure with this stoichiometry at 0 meV per atom.

Lattice parameters (Å, degrees): 7.0922 14.1892 4.9960 90.00 90.00 90.00
With the nearest neighbours (Å) after each atom.
Space group Pbam (No. 55)
Asymmetric unit:
Pr 0.0000 0.0000 0.0000 (multiplicity 2)  4 Sc 3.54, 8 Sm 3.55-3.56
Sm 0.0000 0.5000 0.0000 (multiplicity 2)  6 Sm 3.54, 2 Pr 3.55, 4 Sc 3.55
Sm 0.0015 0.2507 0.0000 (multiplicity 4)  4 Sc 3.53-3.54, 7 Sm 3.53-3.55, 1 Pr 3.56
Sm 0.2481 0.6258 0.5000 (multiplicity 4)  4 Sc 3.53-3.57, 6 Sm 3.53-3.54, 2 Pr 3.55
Sc 0.2495 0.8743 0.5000 (multiplicity 4)  10 Sm 3.53-3.57, 2 Pr 3.54

[2]
Here is a geometry-optimized TeOsPt structure from Alexandria via LeMat-Bulk. Energies are from PBE.

The value obtained for the formation energy (no corrections) is 0.3756 eV per atom. The calculation puts the energy above the lowest structure with this stoichiometry at 0 meV per atom.

Lattice parameters (Å, degrees): 6.2168 6.2168 6.2168 90.00 90.00 90.00
With the nearest neighbours (Å) after each atom.
Space group F-43m (No. 216)
Asymmetric unit:
Te 0.0000 0.0000 0.0000 (multiplicity 4)  4 Os 2.69
Os 0.2500 0.2500 0.7500 (multiplicity 4)  4 Te 2.69, 4 Pt 2.69
Pt 0.0000 0.0000 0.5000 (multiplicity 4)  4 Os 2.69

[3]
Here is a geometry-optimized KOsRh2 structure from Alexandria via LeMat-Bulk. Energies are from PBE.

The energy of formation is 2.9 eV/f.u. The calculation puts the energy above the lowest structure with this stoichiometry at 278 meV per atom.

Lattice parameters (Å, degrees): 2.7122 4.2478 7.1881 90.00 100.34 90.00
With the nearest neighbours (Å) after each atom.
Space group Pm (No. 6)
Asymmetric unit:
K 0.0000 0.0000 0.0000 (multiplicity 1)  2 K 2.71
Os 0.6999 0.5000 0.3656 (multiplicity 1)  6 Rh 2.62-2.65, 2 Os 2.71
Rh 0.2505 0.0000 0.4698 (multiplicity 1)  4 Rh 2.62-2.71, 4 Os 2.62-2.63
Rh 0.3526 0.5000 0.6877 (multiplicity 1)  4 Rh 2.62-2.71, 2 Os 2.65

[4]
Here is a geometry-optimized La5In2Co2 structure from Alexandria via LeMat-Bulk. Energies are from PBE.

The energy of formation is -1.0 eV/f.u.

Lattice parameters (Å, degrees): 22.0102 7.2897 7.1305 90.00 90.00 90.00
With the nearest neighbours (Å) after each atom.
Space group Ima2 (No. 46)
Asymmetric unit:
La 0.9996 0.2471 0.0000 (multiplicity 8)  2 Co 2.54-2.56
La 0.1393 0.0024 0.2460 (multiplicity 8)  1 Co 2.55
La 0.2500 0.5943 0.2106 (multiplicity 4)  1 Co 2.50
In 0.1051 0.0015 0.7483 (multiplicity 8)  7 La 3.28-3.66
Co 0.0000 0.0000 0.2550 (multiplicity 4)  4 La 2.54-2.56
Co 0.2500 0.5661 0.6658 (multiplicity 4)  3 La 2.50-2.55

[5]
Here is a geometry-optimized Ca2Cu3P2 structure from Alexandria via LeMat-Bulk. Energies are from PBE.

The energy of formation is -3.3 eV/f.u.

Lattice parameters (Å, degrees): 10.0263 4.0916 6.2403 90.00 109.96 90.00
With the nearest neighbours (Å) after each atom.
Space group C2/m (No. 12)
Asymmetric unit:
Ca 0.1414 0.0000 0.2651 (multiplicity 4)  7 Cu 2.90-3.15, 4 P 2.92-2.99
Cu 0.0000 0.5000 0.5000 (multiplicity 2)  2 Cu 2.49, 4 P 2.71
Cu 0.1103 0.5000 0.9223 (multiplicity 4)  3 P 2.41-2.54, 2 Cu 2.49-2.70
P 0.1535 0.0000 0.7510 (multiplicity 4)  3 Cu 2.41-2.54

[6]
Here is a geometry-optimized BaTbAlS4 structure from Alexandria via LeMat-Bulk. Energies are from PBE.

The value obtained for the formation energy (no corrections) is -1.7699 eV per atom.

Lattice parameters (Å, degrees): 6.5609 6.7154 8.4715 90.00 107.54 90.00
With the nearest neighbours (Å) after each atom.
Space group P2_1/m (No. 11)
Asymmetric unit:
Ba 0.2422 0.2500 0.4365 (multiplicity 2)  6 S 3.03-3.37
Tb 0.2800 0.2500 0.9490 (multiplicity 2)  6 S 2.75-2.85
Al 0.2650 0.7500 0.1739 (multiplicity 2)  4 S 2.21-2.26
S 0.0522 0.7500 0.9159 (multiplicity 2)  1 Al 2.21
S 0.0692 0.7500 0.3486 (multiplicity 2)  1 Al 2.23
S 0.4982 0.5033 0.7826 (multiplicity 4)  1 Al 2.26

no.,uncorrected energy (eV/atom)
1,-5.093
2,-6.428
3,-6.041
4,-5.034
5,-4.344
6,-5.599